This record from Alexandria via LeMat-Bulk describes a relaxed ZrCrRu2I crystal. The functional is PBE.

Lattice parameters (Å, degrees): 4.512 4.512 4.923 90.00 90.00 90.00
Space group P4/mmm (No. 123)
Unique sites:
1 Zr 0.000 0.000 0.000 x1
2 Cr 0.000 0.000 0.500 x1
3 Ru 0.000 0.500 0.500 x2
4 I 0.500 0.500 0.000 x1

Results
DOS(E_F)   6.46 states/eV/f.u.
Raw total energy   -6.70 eV/atom



This record from Alexandria via LeMat-Bulk describes a relaxed BaLa2MgN crystal. The functional is PBE.

Lattice parameters (Å, degrees): 5.116 5.116 5.813 90.00 90.00 90.00
Space group P4/mmm (No. 123)
Unique sites:
1 Ba 0.000 0.000 0.000 x1
2 La 0.000 0.500 0.500 x2
3 Mg 0.500 0.500 0.000 x1
4 N 0.000 0.000 0.500 x1

Results
DOS(E_F)   5.44 states/eV/f.u.
Raw total energy   -4.78 eV/atom



The evaluated total magnetic moment for the records listed, in turn: 0.0, 0.0 μB per formula unit.
The evaluated energy relative to the elements, uncorrected for the records listed, in turn: 0.96, -0.44 eV per atom.